Entry 1:
{"formula": "Ho2Al7Au12", "functional": "PBE", "state": "relaxed", "n_ef_per_ev_fu": 4.8, "cell": [[10.5927, 0.0000, 0.0000], [-5.2964, 9.1736, 0.0000], [0.0000, 0.0000, 4.0611]], "species": ["Ho", "Ho", "Al", "Al", "Al", "Al", "Al", "Al", "Al", "Au", "Au", "Au", "Au", "Au", "Au", "Au", "Au", "Au", "Au", "Au", "Au"], "frac_coords": [[0.3333, 0.6667, 0.2452], [0.6667, 0.3333, 0.7548], [0.0000, 0.0000, 0.5000], [0.1015, 0.7009, 0.7407], [0.2991, 0.4006, 0.7407], [0.4006, 0.1015, 0.2593], [0.5994, 0.8985, 0.7407], [0.7009, 0.5994, 0.2593], [0.8985, 0.2991, 0.2593], [0.0873, 0.4574, 0.7550], [0.1282, 0.2617, 0.2387], [0.1335, 0.8718, 0.2387], [0.2617, 0.1335, 0.7613], [0.3701, 0.9127, 0.7550], [0.4574, 0.3701, 0.2450], [0.5426, 0.6299, 0.7550], [0.6299, 0.0873, 0.2450], [0.7383, 0.8665, 0.2387], [0.8665, 0.1282, 0.7613], [0.8718, 0.7383, 0.7613], [0.9127, 0.5426, 0.2450]]}

***

Entry 2:
{"formula": "HoAlInAu", "functional": "PBE", "state": "relaxed", "n_ef_per_ev_fu": 0.4, "cell": [[7.0013, 0.0000, 0.0000], [0.0000, 7.0013, 0.0000], [0.0000, 0.0000, 7.0013]], "species": ["Ho", "Ho", "Ho", "Ho", "Al", "Al", "Al", "Al", "In", "In", "In", "In", "Au", "Au", "Au", "Au"], "frac_coords": [[0.0000, 0.0000, 0.0000], [0.0000, 0.5000, 0.5000], [0.5000, 0.0000, 0.5000], [0.5000, 0.5000, 0.0000], [0.0000, 0.0000, 0.5000], [0.0000, 0.5000, 0.0000], [0.5000, 0.0000, 0.0000], [0.5000, 0.5000, 0.5000], [0.2500, 0.2500, 0.7500], [0.2500, 0.7500, 0.2500], [0.7500, 0.2500, 0.2500], [0.7500, 0.7500, 0.7500], [0.2500, 0.2500, 0.2500], [0.2500, 0.7500, 0.7500], [0.7500, 0.2500, 0.7500], [0.7500, 0.7500, 0.2500]]}

***

Entry 3:
{"formula": "Ho2Al4InAu3", "functional": "PBE", "state": "relaxed", "n_ef_per_ev_fu": 3.5, "cell": [[4.2721, 0.0000, 0.0000], [0.0000, 4.2721, 0.0000], [0.0000, 0.0000, 11.0984]], "species": ["Ho", "Ho", "Al", "Al", "Al", "Al", "In", "Au", "Au", "Au"], "frac_coords": [[0.0000, 0.5000, 0.2448], [0.5000, 0.0000, 0.7552], [0.0000, 0.0000, 0.0000], [0.0000, 0.5000, 0.6488], [0.5000, 0.0000, 0.3512], [0.5000, 0.5000, 0.0000], [0.0000, 0.0000, 0.5000], [0.0000, 0.5000, 0.8688], [0.5000, 0.0000, 0.1312], [0.5000, 0.5000, 0.5000]]}

***

Entry 4:
{"formula": "Ho2Al3InAu4", "functional": "PBE", "state": "relaxed", "n_ef_per_ev_fu": 3.2, "cell": [[4.3169, 0.0000, 0.0000], [0.0000, 4.3169, 0.0000], [0.0000, 0.0000, 11.0373]], "species": ["Ho", "Ho", "Al", "Al", "Al", "In", "Au", "Au", "Au", "Au"], "frac_coords": [[0.0000, 0.5000, 0.2397], [0.5000, 0.0000, 0.7603], [0.0000, 0.5000, 0.8730], [0.5000, 0.0000, 0.1270], [0.5000, 0.5000, 0.5000], [0.0000, 0.0000, 0.5000], [0.0000, 0.0000, 0.0000], [0.0000, 0.5000, 0.6517], [0.5000, 0.0000, 0.3483], [0.5000, 0.5000, 0.0000]]}

***

Number 1: mass density 12.13 g cm⁻³, formation energy -0.489 eV/atom. Number 2: mass density 9.75 g cm⁻³, formation energy -0.411 eV/atom. Number 3: mass density 9.37 g cm⁻³, formation energy -0.598 eV/atom. Number 4: mass density 10.60 g cm⁻³, formation energy -0.625 eV/atom.